This record from Alexandria via LeMat-Bulk describes a relaxed SmTmZnRh crystal. The functional is GGA-PBE.

```
data_SmTmZnRh
_symmetry_space_group_name_H-M 'F -4 3 m'
_symmetry_Int_Tables_number 216
_symmetry_space_group_name_Hall 'F -4 2 3'
_cell_length_a 7.010
_cell_length_b 7.010
_cell_length_c 7.010
_cell_angle_alpha 90.00
_cell_angle_beta 90.00
_cell_angle_gamma 90.00
loop_
_atom_site_label
_atom_site_fract_x
_atom_site_fract_y
_atom_site_fract_z
Sm1 0.000 0.000 0.000
Tm1 0.000 0.000 0.500
Zn1 0.250 0.250 0.750
Rh1 0.250 0.250 0.250
```

## Properties
Fermi-level density of states = 9.112 states/eV/cell
Offset from the most stable computed form = 9 meV per atom
DFT formation energy = -0.5802 eV per atom
Calculated density = 9.4 g/cm³

***

This record from Alexandria via LeMat-Bulk describes a relaxed SmTmZnRh crystal. The functional is GGA-PBE.

```
data_SmTmZnRh
_symmetry_space_group_name_H-M 'P 4 m m'
_symmetry_Int_Tables_number 99
_cell_length_a 3.508
_cell_length_b 3.508
_cell_length_c 7.074
_cell_angle_alpha 90.00
_cell_angle_beta 90.00
_cell_angle_gamma 90.00
loop_
_symmetry_equiv_pos_as_xyz
'x,y,z'
'-y,x,z'
'-x,-y,z'
'y,-x,z'
'-x,y,z'
'y,x,z'
'x,-y,z'
'-y,-x,z'
loop_
_atom_site_label
_atom_site_fract_x
_atom_site_fract_y
_atom_site_fract_z
Sm1 0.000 0.000 0.000
Tm1 0.000 0.000 0.468
Zn1 0.500 0.500 0.718
Rh1 0.500 0.500 0.250
```

## Properties
Fermi-level density of states = 3.335 states/eV/cell
Offset from the most stable computed form = 0 meV per atom
DFT formation energy = -0.5892 eV per atom
Calculated density = 9.3 g/cm³

***

This record from Alexandria via LeMat-Bulk describes a relaxed SmURh crystal. The functional is GGA-PBE.

```
data_SmURh
_symmetry_space_group_name_H-M 'F d d d'
_symmetry_Int_Tables_number 70
_cell_length_a 6.385
_cell_length_b 9.480
_cell_length_c 18.133
_cell_angle_alpha 90.00
_cell_angle_beta 90.00
_cell_angle_gamma 90.00
loop_
_symmetry_equiv_pos_as_xyz
'x,y,z'
'-x,-y,-z'
'-x+1/4,-y+1/4,z'
'x+1/4,y+1/4,-z'
'x,-y+1/4,-z+1/4'
'-x,y+1/4,z+1/4'
'-x+1/4,y,-z+1/4'
'x+1/4,-y,z+1/4'
'x,y+1/2,z+1/2'
'-x,-y+1/2,-z+1/2'
'-x+1/4,-y+3/4,z+1/2'
'x+1/4,y+3/4,-z+1/2'
'x,-y+3/4,-z+3/4'
'-x,y+3/4,z+3/4'
'-x+1/4,y+1/2,-z+3/4'
'x+1/4,-y+1/2,z+3/4'
'x+1/2,y,z+1/2'
'-x+1/2,-y,-z+1/2'
'-x+3/4,-y+1/4,z+1/2'
'x+3/4,y+1/4,-z+1/2'
'x+1/2,-y+1/4,-z+3/4'
'-x+1/2,y+1/4,z+3/4'
'-x+3/4,y,-z+3/4'
'x+3/4,-y,z+3/4'
'x+1/2,y+1/2,z'
'-x+1/2,-y+1/2,-z'
'-x+3/4,-y+3/4,z'
'x+3/4,y+3/4,-z'
'x+1/2,-y+3/4,-z+1/4'
'-x+1/2,y+3/4,z+1/4'
'-x+3/4,y+1/2,-z+1/4'
'x+3/4,-y+1/2,z+1/4'
loop_
_atom_site_label
_atom_site_fract_x
_atom_site_fract_y
_atom_site_fract_z
Sm1 0.125 0.125 0.037
U1 0.125 0.125 0.530
Rh1 0.125 0.334 0.625
```

## Properties
Fermi-level density of states = 97.508 states/eV/cell
DFT formation energy = 0.1808 eV per atom
Calculated density = 11.9 g/cm³